Computed, not measured: a relaxed structure of CoPb2W at the PBE level of DFT.

POSCAR file:
```
CoPb2W
1.0
4.753 0.000 0.000
0.000 4.753 0.000
0.000 0.000 3.361
Co Pb W
1 2 1
direct
0.000 0.000 0.000
0.000 0.500 0.500
0.500 0.000 0.500
0.500 0.500 0.000
```

Values from the calculation:
ΔE_f: 0.977 eV/atom
SG: P4/mmm, No. 123
energy relative to the lowest polymorph listed for this composition: 562 meV/atom
total energy: -5.892 eV per atom
crystal system: tetragonal